A geometry-optimized Zn4PtAu7 structure, computed with GGA-PBE.

Values from the calculation:
ΔE_f   -192 kJ/mol of formula units
N(E_F)   3.749 states/eV/cell
Space group   P-1

Cell: 5.5617 7.1448 6.9737 Å, 125.35 95.93 71.31°
Closest atoms and distances in Å follow each position.
Fractional coordinates of all 12 atoms:
Zn 0.7544 0.1370 0.3927  1 Pt 2.67, 8 Au 2.68-2.84
Zn 0.2456 0.8630 0.6073  1 Pt 2.67, 8 Au 2.68-2.84
Zn 0.9035 0.5892 0.7316  7 Au 2.60-2.84, 1 Pt 2.62, 1 Zn 2.88
Zn 0.0965 0.4108 0.2684  7 Au 2.60-2.84, 1 Pt 2.62, 1 Zn 2.88
Pt 0.0000 0.0000 0.0000  4 Zn 2.62-2.67, 6 Au 2.78-2.91
Au 0.7294 0.8734 0.5583  5 Zn 2.76-2.84, 4 Au 2.83-2.96, 1 Pt 3.04
Au 0.2706 0.1266 0.4417  5 Zn 2.76-2.84, 4 Au 2.83-2.96, 1 Pt 3.04
Au 0.1200 0.6950 0.1563  4 Zn 2.60-2.84, 1 Pt 2.84, 3 Au 2.86-2.91
Au 0.8800 0.3050 0.8437  4 Zn 2.60-2.84, 1 Pt 2.84, 3 Au 2.86-2.91
Au 0.4197 0.5454 0.7437  4 Zn 2.68-2.82, 4 Au 2.83-2.91, 1 Pt 2.91
Au 0.5000 0.0000 0.0000  4 Zn 2.73, 2 Pt 2.78, 4 Au 2.83-2.96
Au 0.5803 0.4546 0.2563  4 Zn 2.68-2.82, 4 Au 2.83-2.91, 1 Pt 2.91



A geometry-optimized Zn4PtAu structure, computed with GGA-PBE.

Values from the calculation:
ΔE_f   -84 kJ/mol of formula units
N(E_F)   3.396 states/eV/cell
Space group   F-43m
E above lowest polymorph   86 kJ/mol of formula units

Cell: 5.0205 5.0205 5.0205 Å, 60.00 60.00 60.00°
Closest atoms and distances in Å follow each position.
Fractional coordinates of all 6 atoms:
Zn 0.8757 0.3748 0.3748  6 Zn 2.51-2.52
Zn 0.3748 0.3748 0.8757  6 Zn 2.51-2.52
Zn 0.3748 0.8757 0.3748  6 Zn 2.51-2.52
Zn 0.3748 0.3748 0.3748  6 Zn 2.51-2.52
Pt 0.0000 0.0000 0.0000  12 Zn 2.94, 4 Au 3.07
Au 0.7500 0.7500 0.7500  12 Zn 2.94, 4 Pt 3.07



A geometry-optimized Zn4Pt15Au structure, computed with GGA-PBE.

Values from the calculation:
ΔE_f   -489 kJ/mol of formula units
N(E_F)   19.678 states/eV/cell
Space group   P4/mmm

Cell: 3.9375 3.9375 19.8558 Å, 90.00 90.00 90.00°
Closest atoms and distances in Å follow each position.
Fractional coordinates of all 20 atoms:
Zn 0.0000 0.0000 0.2031  12 Pt 2.77-2.78
Zn 0.0000 0.0000 0.4015  12 Pt 2.78-2.79
Zn 0.0000 0.0000 0.5985  12 Pt 2.78-2.79
Zn 0.0000 0.0000 0.7969  12 Pt 2.77-2.78
Pt 0.5000 0.5000 0.0000  4 Au 2.78, 8 Pt 2.87
Pt 0.5000 0.5000 0.2036  8 Pt 2.77, 4 Zn 2.78
Pt 0.5000 0.5000 0.4007  8 Pt 2.78-2.79, 4 Zn 2.78
Pt 0.5000 0.5000 0.5993  8 Pt 2.78-2.79, 4 Zn 2.78
Pt 0.5000 0.5000 0.7964  8 Pt 2.77, 4 Zn 2.78
Pt 0.5000 0.0000 0.1052  2 Zn 2.77, 8 Pt 2.77-2.87, 2 Au 2.87
Pt 0.5000 0.0000 0.3021  8 Pt 2.77-2.78, 4 Zn 2.78-2.79
Pt 0.5000 0.0000 0.5000  4 Zn 2.78, 8 Pt 2.78-2.79
Pt 0.5000 0.0000 0.6979  8 Pt 2.77-2.78, 4 Zn 2.78-2.79
Pt 0.5000 0.0000 0.8948  2 Zn 2.77, 8 Pt 2.77-2.87, 2 Au 2.87
Pt 0.0000 0.5000 0.1052  2 Zn 2.77, 8 Pt 2.77-2.87, 2 Au 2.87
Pt 0.0000 0.5000 0.3021  8 Pt 2.77-2.78, 4 Zn 2.78-2.79
Pt 0.0000 0.5000 0.5000  4 Zn 2.78, 8 Pt 2.78-2.79
Pt 0.0000 0.5000 0.6979  8 Pt 2.77-2.78, 4 Zn 2.78-2.79
Pt 0.0000 0.5000 0.8948  2 Zn 2.77, 8 Pt 2.77-2.87, 2 Au 2.87
Au 0.0000 0.0000 0.0000  12 Pt 2.78-2.87



Please write out number 2 again, unchanged.
A geometry-optimized Zn4PtAu structure, computed with GGA-PBE.

Values from the calculation:
ΔE_f   -84 kJ/mol of formula units
N(E_F)   3.396 states/eV/cell
Space group   F-43m
E above lowest polymorph   86 kJ/mol of formula units

Cell: 5.0205 5.0205 5.0205 Å, 60.00 60.00 60.00°
Closest atoms and distances in Å follow each position.
Fractional coordinates of all 6 atoms:
Zn 0.8757 0.3748 0.3748  6 Zn 2.51-2.52
Zn 0.3748 0.3748 0.8757  6 Zn 2.51-2.52
Zn 0.3748 0.8757 0.3748  6 Zn 2.51-2.52
Zn 0.3748 0.3748 0.3748  6 Zn 2.51-2.52
Pt 0.0000 0.0000 0.0000  12 Zn 2.94, 4 Au 3.07
Au 0.7500 0.7500 0.7500  12 Zn 2.94, 4 Pt 3.07